Record 1
VASP calculation (PBE) on a relaxed structure of MgTaCoGe.

Computed properties:
Total magnetic moment ... 0.4688 μB/atom
Crystal system ... cubic
SG ... F-43m (216)
Final energy ... -5.961 eV/atom

Unit cell a=4.4101 b=4.4101 c=4.4101 alpha=60.00 beta=60.00 gamma=60.00
With the nearest neighbours (Å) after each atom.
Fractional coordinates of all 4 atoms:
Co  0.7500  0.7500  0.7500  4 Mg 2.70, 4 Ge 2.70
Ge  0.0000  0.0000  0.0000  4 Ta 2.70, 4 Co 2.70
Mg  0.5000  0.5000  0.5000  4 Co 2.70, 4 Ta 2.70
Ta  0.2500  0.2500  0.2500  4 Ge 2.70, 4 Mg 2.70

***

Record 2
VASP calculation (PBE) on a relaxed structure of MgTlCoGe.

Computed properties:
Total magnetic moment ... 0.1616 μB/atom
Crystal system ... cubic
SG ... F-43m (216)
Final energy ... -3.597 eV/atom

Unit cell a=4.6308 b=4.6308 c=4.6308 alpha=60.00 beta=60.00 gamma=60.00
With the nearest neighbours (Å) after each atom.
Fractional coordinates of all 4 atoms:
Co  0.2500  0.2500  0.2500  4 Ge 2.84, 4 Tl 2.84
Ge  0.0000  0.0000  0.0000  4 Co 2.84, 4 Mg 2.84
Mg  0.7500  0.7500  0.7500  4 Tl 2.84, 4 Ge 2.84
Tl  0.5000  0.5000  0.5000  4 Mg 2.84, 4 Co 2.84

***

Record 3
VASP calculation (PBE) on a relaxed structure of MgZnCoGe.

Computed properties:
Total magnetic moment ... 0.0003 μB/atom
Crystal system ... cubic
SG ... F-43m (216)
Final energy ... -3.539 eV/atom

Unit cell a=4.3149 b=4.3149 c=4.3149 alpha=60.00 beta=60.00 gamma=60.00
With the nearest neighbours (Å) after each atom.
Fractional coordinates of all 4 atoms:
Co  0.2500  0.2500  0.2500  4 Mg 2.64, 4 Ge 2.64
Ge  0.0000  0.0000  0.0000  4 Co 2.64, 4 Zn 2.64
Mg  0.5000  0.5000  0.5000  4 Co 2.64, 4 Zn 2.64
Zn  0.7500  0.7500  0.7500  4 Ge 2.64, 4 Mg 2.64

***

Record 4
VASP calculation (PBE) on a relaxed structure of MgZnCoGe.

Computed properties:
Total magnetic moment ... 0.0001 μB/atom
Crystal system ... cubic
SG ... F-43m (216)
Final energy ... -3.620 eV/atom

Unit cell a=4.3096 b=4.3096 c=4.3096 alpha=60.00 beta=60.00 gamma=60.00
With the nearest neighbours (Å) after each atom.
Fractional coordinates of all 4 atoms:
Co  0.0000  0.0000  0.0000  4 Zn 2.64, 4 Ge 2.64
Ge  0.2500  0.2500  0.2500  4 Mg 2.64, 4 Co 2.64
Mg  0.5000  0.5000  0.5000  4 Ge 2.64, 4 Zn 2.64
Zn  0.7500  0.7500  0.7500  4 Co 2.64, 4 Mg 2.64

***

Record 5
VASP calculation (PBE) on a relaxed structure of CoGe2Mo.

Computed properties:
Total magnetic moment ... 0.2980 μB/atom
Crystal system ... cubic
SG ... F-43m (216)
Final energy ... -6.419 eV/atom

Unit cell a=4.3676 b=4.3676 c=4.3676 alpha=60.00 beta=60.00 gamma=60.00
With the nearest neighbours (Å) after each atom.
Fractional coordinates of all 4 atoms:
Co  0.2500  0.2500  0.2500  4 Mo 2.67, 4 Ge 2.67
Ge  0.0000  0.0000  0.0000  4 Ge 2.67, 4 Co 2.67
Ge  0.7500  0.7500  0.7500  4 Mo 2.67, 4 Ge 2.67
Mo  0.5000  0.5000  0.5000  4 Co 2.67, 4 Ge 2.67

***

Record 6
VASP calculation (PBE) on a relaxed structure of CoGeMo4N2.

Computed properties:
Total magnetic moment ... 0.1259 μB/atom
Crystal system ... hexagonal
SG ... P-6m2 (187)
Final energy ... -8.921 eV/atom

Unit cell a=2.8656 b=2.8656 c=14.0775 alpha=90.00 beta=90.00 gamma=120.00
With the nearest neighbours (Å) after each atom.
Fractional coordinates of all 8 atoms:
Co  0.0000  0.0000  0.0000  6 Mo 2.66, 6 Co 2.87
Ge  0.6667  0.3333  0.5000  6 Mo 2.73, 6 Ge 2.87
Mo  0.6667  0.3333  0.1484  3 N 2.17
Mo  0.0000  0.0000  0.3460  3 N 2.15
Mo  0.0000  0.0000  0.6540  3 N 2.15
Mo  0.6667  0.3333  0.8516  3 N 2.17
N  0.3333  0.6667  0.2485  6 Mo 2.15-2.17
N  0.3333  0.6667  0.7515  6 Mo 2.15-2.17